No. 1
# Tb4Pm3Pt4 (GGA-PBE, relaxed)
# Crystal system   orthorhombic
data_Tb4Pm3Pt4
_space_group_name_H-M_alt 'I m m m'
_space_group_IT_number 71
_space_group_name_Hall '-I 2 2'
_cell_length_a 4.607
_cell_length_b 7.847
_cell_length_c 15.665
_cell_angle_alpha 90.00
_cell_angle_beta 90.00
_cell_angle_gamma 90.00
loop_
_atom_site_label
_atom_site_type_symbol
_atom_site_fract_x
_atom_site_fract_y
_atom_site_fract_z
Tb1 Tb 0.000 0.212 0.171
Pm1 Pm 0.000 0.000 0.399
Pm2 Pm 0.000 0.500 0.500
Pt1 Pt 0.000 0.315 0.000
Pt2 Pt 0.000 0.500 0.292

No. 2
# TbPm2Pt2 (GGA-PBE, relaxed)
# Crystal system   tetragonal
data_TbPm2Pt2
_space_group_name_H-M_alt 'P 4/m b m'
_space_group_IT_number 127
_space_group_name_Hall '-P 4 2ab'
_cell_length_a 7.856
_cell_length_b 7.856
_cell_length_c 4.071
_cell_angle_alpha 90.00
_cell_angle_beta 90.00
_cell_angle_gamma 90.00
loop_
_atom_site_label
_atom_site_type_symbol
_atom_site_fract_x
_atom_site_fract_y
_atom_site_fract_z
Tb1 Tb 0.000 0.000 0.000
Pm1 Pm 0.163 0.337 0.500
Pt1 Pt 0.137 0.637 0.000

No. 3
# TbPmPt (GGA-PBE, relaxed)
# Crystal system   trigonal
data_TbPmPt
_space_group_name_H-M_alt 'P 3 m 1'
_space_group_IT_number 156
_space_group_name_Hall 'P 3 -2"'
_cell_length_a 4.6762
_cell_length_b 4.6762
_cell_length_c 4.2477
_cell_angle_alpha 90.00
_cell_angle_beta 90.00
_cell_angle_gamma 120.00
loop_
_atom_site_label
_atom_site_type_symbol
_atom_site_fract_x
_atom_site_fract_y
_atom_site_fract_z
Tb1 Tb 0.0000 0.0000 0.0000
Pm1 Pm 0.6667 0.3333 0.5258
Pt1 Pt 0.3333 0.6667 0.2221

No. 4
# TbPmPt2 (GGA-PBE, relaxed)
# Crystal system   orthorhombic
data_TbPmPt2
_space_group_name_H-M_alt 'A m m 2'
_space_group_IT_number 38
_space_group_name_Hall 'A 2 -2'
_cell_length_a 4.512
_cell_length_b 3.847
_cell_length_c 10.713
_cell_angle_alpha 90.00
_cell_angle_beta 90.00
_cell_angle_gamma 90.00
loop_
_atom_site_label
_atom_site_type_symbol
_atom_site_fract_x
_atom_site_fract_y
_atom_site_fract_z
Tb1 Tb 0.000 0.000 0.000
Pm1 Pm 0.500 0.000 0.725
Pt1 Pt 0.000 0.000 0.276
Pt2 Pt 0.500 0.000 0.452

No. 5
# Tb2PmPt9 (GGA-PBE, relaxed)
# Crystal system   trigonal
data_Tb2PmPt9
_space_group_name_H-M_alt 'R -3 m'
_space_group_IT_number 166
_space_group_name_Hall '-R 3 2"'
_cell_length_a 5.4332
_cell_length_b 5.4332
_cell_length_c 26.5650
_cell_angle_alpha 90.00
_cell_angle_beta 90.00
_cell_angle_gamma 120.00
loop_
_atom_site_label
_atom_site_type_symbol
_atom_site_fract_x
_atom_site_fract_y
_atom_site_fract_z
Tb1 Tb 0.0000 0.0000 0.1395
Pm1 Pm 0.0000 0.0000 0.0000
Pt1 Pt 0.0000 0.0000 0.3331
Pt2 Pt 0.0000 0.0000 0.5000
Pt3 Pt 0.0046 0.5023 0.9145

No. 6
# TbPmPt2 (GGA-PBE, relaxed)
# Crystal system   cubic
data_TbPmPt2
_space_group_name_H-M_alt 'F m -3 m'
_space_group_IT_number 225
_space_group_name_Hall '-F 4 2 3'
_cell_length_a 7.099
_cell_length_b 7.099
_cell_length_c 7.099
_cell_angle_alpha 90.00
_cell_angle_beta 90.00
_cell_angle_gamma 90.00
loop_
_atom_site_label
_atom_site_type_symbol
_atom_site_fract_x
_atom_site_fract_y
_atom_site_fract_z
Tb1 Tb 0.000 0.000 0.000
Pm1 Pm 0.000 0.000 0.500
Pt1 Pt 0.250 0.250 0.250

No. 7
# Tb2Pm5Pt4 (GGA-PBE, relaxed)
# Crystal system   monoclinic
data_Tb2Pm5Pt4
_space_group_name_H-M_alt 'C 1 2/m 1'
_space_group_IT_number 12
_space_group_name_Hall '-C 2y'
_cell_length_a 21.726
_cell_length_b 4.145
_cell_length_c 7.761
_cell_angle_alpha 90.00
_cell_angle_beta 98.20
_cell_angle_gamma 90.00
loop_
_atom_site_label
_atom_site_type_symbol
_atom_site_fract_x
_atom_site_fract_y
_atom_site_fract_z
Tb1 Tb 0.229 0.000 0.165
Pm1 Pm 0.000 0.000 0.500
Pm2 Pm 0.096 0.500 0.949
Pm3 Pm 0.151 0.500 0.463
Pt1 Pt 0.024 0.500 0.255
Pt2 Pt 0.107 0.000 0.223

No. 8
# TbPm2Pt3 (GGA-PBE, relaxed)
# Crystal system   trigonal
data_TbPm2Pt3
_space_group_name_H-M_alt 'P -3 m 1'
_space_group_IT_number 164
_space_group_name_Hall '-P 3 2"'
_cell_length_a 5.0302
_cell_length_b 5.0302
_cell_length_c 6.1886
_cell_angle_alpha 90.00
_cell_angle_beta 90.00
_cell_angle_gamma 120.00
loop_
_atom_site_label
_atom_site_type_symbol
_atom_site_fract_x
_atom_site_fract_y
_atom_site_fract_z
Tb1 Tb 0.0000 0.0000 0.0000
Pm1 Pm 0.3333 0.6667 0.6673
Pt1 Pt 0.0000 0.0000 0.5000
Pt2 Pt 0.3333 0.6667 0.1538

For reference, volume by record: 566.3; 251.2; 80.4; 186.0; 679.1; 357.8; 691.6; 135.6 Å³ per cell.
For reference, formation energy by record: -0.872; -0.983; -0.649; -1.221; -0.954; -1.131; -0.545; -1.114 eV/atom.
For reference, raw total energy by record: -0.222; -0.229; -0.213; -0.242; -0.244; -0.239; -0.211; -0.238 Ha/atom.